LiInO2F (PBE-GGA, optimized geometry); formation energy from raw total energies = -1.098 eV per atom; total magnetization = 1.0 Bohr magnetons per cell; final energy = -4.386 eV/atom
1.0
3.765 0.000 0.000
0.000 3.765 0.000
0.000 0.000 3.584
Li In O F
1 1 2 1
Direct
0.000 0.000 0.000 Li
0.500 0.500 0.500 In
0.000 0.500 0.000 O
0.500 0.000 0.000 O
0.000 0.000 0.500 F